[1]
Computed, not measured: an optimized crystal structure of PmErSb2 at the PBE-GGA level of DFT.

```
PmErSb2
1.0
4.395 0.000 0.000
2.197 3.806 0.000
2.197 1.269 7.491
Er Sb Pm
1 2 1
direct
0.498 0.498 0.506 Er
0.248 0.248 0.255 Sb
0.085 0.085 0.746 Sb
0.669 0.669 0.993 Pm
```

Results
Final energy, eV per atom: -5.40
Formation energy (no corrections), meV per atom: -1014
N(E_F), states/eV per cell: 0.43
Space-group type: R3m (160)
Magnetic moment, μB per cell: 0.0

***

[2]
Computed, not measured: an optimized crystal structure of PmEr2Sb at the PBE-GGA level of DFT.

```
PmEr2Sb
1.0
-3.512 3.112 -0.754
-3.025 -3.636 -0.921
-1.180 -0.201 4.668
Er Pm Sb
2 1 1
direct
0.000 0.500 0.000 Er
0.000 0.000 0.500 Er
0.500 0.500 0.500 Pm
0.500 0.000 0.000 Sb
```

Results
Final energy, eV per atom: -4.98
Formation energy (no corrections), meV per atom: -478
N(E_F), states/eV per cell: 4.12
Space-group type: P4/mmm (123)
Magnetic moment, μB per cell: 0.0

***

[3]
Computed, not measured: an optimized crystal structure of PmEr2Sb3 at the PBE-GGA level of DFT.

```
PmEr2Sb3
1.0
4.212 0.000 -1.275
-0.771 5.629 -2.548
0.008 0.007 7.620
Er Sb Pm
2 3 1
direct
0.165 0.165 0.830 Er
0.835 0.835 0.170 Er
0.172 0.672 0.843 Sb
0.828 0.328 0.157 Sb
0.500 0.000 0.500 Sb
0.500 0.500 0.500 Pm
```

Results
Final energy, eV per atom: -5.49
Formation energy (no corrections), meV per atom: -1118
N(E_F), states/eV per cell: 1.22
Space-group type: Immm (71)
Magnetic moment, μB per cell: 0.0

***

[4]
Computed, not measured: an optimized crystal structure of Pm2Er2Sb3 at the PBE-GGA level of DFT.

```
Pm2Er2Sb3
1.0
7.577 0.000 -2.679
-3.788 6.561 -2.679
0.000 0.000 8.036
Pm Sb Er
4 6 4
direct
0.000 0.000 0.351 Pm
0.851 0.500 0.000 Pm
0.649 0.149 0.149 Pm
0.500 0.351 0.500 Pm
0.618 0.750 0.868 Sb
0.750 0.632 0.382 Sb
0.882 0.250 0.632 Sb
0.250 0.868 0.118 Sb
0.132 0.382 0.250 Sb
0.368 0.118 0.750 Sb
0.000 0.000 0.861 Er
0.500 0.861 0.500 Er
0.139 0.639 0.639 Er
0.361 0.500 0.000 Er
```

Results
Final energy, eV per atom: -5.42
Formation energy (no corrections), meV per atom: -993
N(E_F), states/eV per cell: 13.84
Space-group type: I2_13 (199)
Magnetic moment, μB per cell: 0.0

***

[5]
Computed, not measured: an optimized crystal structure of PmEr2Sb at the PBE-GGA level of DFT.

```
PmEr2Sb
1.0
3.961 0.000 0.000
0.000 3.961 0.000
0.000 0.000 7.366
Er Sb Pm
2 1 1
direct
0.000 0.000 0.719 Er
0.000 0.000 0.281 Er
0.500 0.500 0.500 Sb
0.500 0.500 0.000 Pm
```

Results
Final energy, eV per atom: -4.96
Formation energy (no corrections), meV per atom: -462
N(E_F), states/eV per cell: 3.95
Space-group type: P4/mmm (123)
Magnetic moment, μB per cell: 0.0

***

[6]
Computed, not measured: an optimized crystal structure of Pm2ErSb2 at the PBE-GGA level of DFT.

```
Pm2ErSb2
1.0
6.346 0.000 0.000
0.000 8.500 0.000
-3.173 -4.250 5.943
Sb Pm Er
4 4 2
direct
0.392 0.670 0.785 Sb
0.892 0.114 0.785 Sb
0.108 0.886 0.215 Sb
0.608 0.330 0.215 Sb
0.849 0.705 0.697 Pm
0.651 0.008 0.303 Pm
0.151 0.295 0.303 Pm
0.349 0.992 0.697 Pm
0.750 0.500 0.000 Er
0.250 0.500 0.000 Er
```

Results
Final energy, eV per atom: -5.30
Formation energy (no corrections), meV per atom: -839
N(E_F), states/eV per cell: 7.88
Space-group type: Ibam (72)
Magnetic moment, μB per cell: 0.0

***

[7]
Computed, not measured: an optimized crystal structure of PmEr2Sb at the PBE-GGA level of DFT.

```
PmEr2Sb
1.0
-1.510 4.886 -0.569
-4.030 -1.845 -5.147
-5.944 -1.477 3.096
Pm Er Sb
2 4 2
direct
0.250 0.659 0.582 Pm
0.750 0.341 0.418 Pm
0.750 0.872 0.257 Er
0.250 0.128 0.743 Er
0.750 0.379 0.913 Er
0.250 0.621 0.087 Er
0.750 0.867 0.786 Sb
0.250 0.133 0.214 Sb
```

Results
Final energy, eV per atom: -4.96
Formation energy (no corrections), meV per atom: -460
N(E_F), states/eV per cell: 9.37
Space-group type: P2_1/m (11)
Magnetic moment, μB per cell: 0.0

***

[8]
Computed, not measured: an optimized crystal structure of Pm4ErSb2 at the PBE-GGA level of DFT.

```
Pm4ErSb2
1.0
-2.750 -1.232 -4.445
3.226 -4.213 -0.828
-5.418 -2.140 7.189
Er Pm Sb
1 4 2
direct
0.000 0.000 0.000 Er
0.816 0.816 0.632 Pm
0.184 0.184 0.368 Pm
0.500 0.000 0.000 Pm
0.000 0.500 0.000 Pm
0.367 0.367 0.734 Sb
0.633 0.633 0.266 Sb
```

Results
Final energy, eV per atom: -4.43
Formation energy (no corrections), meV per atom: 111
N(E_F), states/eV per cell: 6.52
Space-group type: I4/mmm (139)
Magnetic moment, μB per cell: 0.0

***

[9]
Computed, not measured: an optimized crystal structure of PmErSb2 at the PBE-GGA level of DFT.

```
PmErSb2
1.0
-2.946 -0.585 3.227
3.762 -2.299 0.006
6.415 10.519 7.765
Pm Er Sb
2 2 4
direct
0.333 0.667 0.750 Pm
0.667 0.333 0.250 Pm
0.000 0.000 0.500 Er
0.000 0.000 0.000 Er
0.667 0.333 0.618 Sb
0.333 0.667 0.118 Sb
0.667 0.333 0.882 Sb
0.333 0.667 0.382 Sb
```

Results
Final energy, eV per atom: -5.47
Formation energy (no corrections), meV per atom: -1081
N(E_F), states/eV per cell: 1.42
Space-group type: P6_3/mmc (194)
Magnetic moment, μB per cell: 0.0

***

[10]
Computed, not measured: an optimized crystal structure of Pm3ErSb3 at the PBE-GGA level of DFT.

```
Pm3ErSb3
1.0
-6.063 -4.510 5.087
2.621 -7.250 4.853
0.161 -0.191 8.178
Pm Sb Er
6 6 2
direct
0.347 0.822 0.740 Pm
0.908 0.653 0.260 Pm
0.178 0.908 0.260 Pm
0.822 0.092 0.740 Pm
0.653 0.178 0.260 Pm
0.092 0.347 0.740 Pm
0.074 0.693 0.764 Sb
0.530 0.926 0.236 Sb
0.693 0.470 0.764 Sb
0.470 0.074 0.764 Sb
0.307 0.530 0.236 Sb
0.926 0.307 0.236 Sb
0.333 0.333 0.002 Er
0.667 0.667 0.998 Er
```

Results
Final energy, eV per atom: -5.39
Formation energy (no corrections), meV per atom: -931
N(E_F), states/eV per cell: 9.72
Space-group type: R-3 (148)
Magnetic moment, μB per cell: 0.0

***

[11]
Computed, not measured: an optimized crystal structure of PmEr5Sb4 at the PBE-GGA level of DFT.

```
PmEr5Sb4
1.0
4.311 0.000 0.000
0.000 8.388 -0.683
-2.155 -1.916 9.119
Er Sb Pm
5 4 1
direct
0.160 0.822 0.321 Er
0.180 0.350 0.360 Er
0.820 0.650 0.640 Er
0.500 0.500 0.000 Er
0.840 0.178 0.679 Er
0.011 0.266 0.022 Sb
0.989 0.734 0.978 Sb
0.673 0.089 0.346 Sb
0.327 0.911 0.654 Sb
0.500 0.000 0.000 Pm
```

Results
Final energy, eV per atom: -5.10
Formation energy (no corrections), meV per atom: -691
N(E_F), states/eV per cell: 5.48
Space-group type: C2/m (12)
Magnetic moment, μB per cell: 0.0

***

[12]
Computed, not measured: an optimized crystal structure of PmErSb2 at the PBE-GGA level of DFT.

```
PmErSb2
1.0
-3.475 1.143 -3.985
-4.085 -3.378 -1.079
-5.081 1.439 1.172
Sb Pm Er
2 1 1
direct
0.750 0.750 0.750 Sb
0.250 0.250 0.250 Sb
0.000 0.000 0.000 Pm
0.500 0.500 0.500 Er
```

Results
Final energy, eV per atom: -5.20
Formation energy (no corrections), meV per atom: -811
N(E_F), states/eV per cell: 1.73
Space-group type: Fm-3m (225)
Magnetic moment, μB per cell: 0.0

***

[13]
Computed, not measured: an optimized crystal structure of PmErSb at the PBE-GGA level of DFT.

```
PmErSb
1.0
4.014 0.000 0.000
0.000 4.014 0.000
-2.007 -2.007 5.331
Pm Sb Er
1 1 1
direct
0.960 0.960 0.920 Pm
0.624 0.624 0.248 Sb
0.266 0.266 0.533 Er
```

Results
Final energy, eV per atom: -5.11
Formation energy (no corrections), meV per atom: -631
N(E_F), states/eV per cell: 2.64
Space-group type: I4mm (107)
Magnetic moment, μB per cell: 0.9

***

[14]
Computed, not measured: an optimized crystal structure of PmErSb2 at the PBE-GGA level of DFT.

```
PmErSb2
1.0
3.349 0.000 0.000
0.000 5.728 0.000
0.000 0.000 5.728
Er Sb Pm
1 2 1
direct
0.500 0.000 0.000 Er
0.000 0.000 0.500 Sb
0.000 0.500 0.000 Sb
0.500 0.500 0.500 Pm
```

Results
Final energy, eV per atom: -5.24
Formation energy (no corrections), meV per atom: -852
N(E_F), states/eV per cell: 1.87
Space-group type: P4/mmm (123)
Magnetic moment, μB per cell: 0.0

***

[15]
Computed, not measured: an optimized crystal structure of Pm4ErSb5 at the PBE-GGA level of DFT.

```
Pm4ErSb5
1.0
-1.807 -2.299 -3.377
-1.025 -3.319 2.808
-12.551 9.556 3.163
Sb Pm Er
5 4 1
direct
0.902 0.902 0.804 Sb
0.700 0.700 0.400 Sb
0.300 0.300 0.600 Sb
0.098 0.098 0.196 Sb
0.500 0.500 0.000 Sb
0.199 0.199 0.398 Pm
0.400 0.400 0.801 Pm
0.801 0.801 0.602 Pm
0.600 0.600 0.199 Pm
0.000 0.000 0.000 Er
```

Results
Final energy, eV per atom: -5.58
Formation energy (no corrections), meV per atom: -1164
N(E_F), states/eV per cell: 1.16
Space-group type: I4/mmm (139)
Magnetic moment, μB per cell: 0.0

***

[16]
Computed, not measured: an optimized crystal structure of PmEr3Sb3 at the PBE-GGA level of DFT.

```
PmEr3Sb3
1.0
-4.443 3.521 -0.102
-3.055 -3.634 7.649
5.584 7.055 0.285
Sb Pm Er
6 2 6
direct
0.750 0.632 0.573 Sb
0.250 0.573 0.941 Sb
0.250 0.368 0.427 Sb
0.750 0.427 0.059 Sb
0.750 0.941 0.368 Sb
0.250 0.059 0.632 Sb
0.250 0.667 0.333 Pm
0.750 0.333 0.667 Pm
0.250 0.766 0.753 Er
0.750 0.013 0.766 Er
0.750 0.234 0.247 Er
0.250 0.247 0.013 Er
0.750 0.753 0.987 Er
0.250 0.987 0.234 Er
```

Results
Final energy, eV per atom: -5.18
Formation energy (no corrections), meV per atom: -776
N(E_F), states/eV per cell: 11.70
Space-group type: P6_3/m (176)
Magnetic moment, μB per cell: 0.1

***

[17]
Computed, not measured: an optimized crystal structure of PmEr4Sb2 at the PBE-GGA level of DFT.

```
PmEr4Sb2
1.0
-1.146 -4.353 -2.713
4.903 -1.746 0.730
-4.222 -0.639 7.901
Sb Er Pm
2 4 1
direct
0.367 0.367 0.734 Sb
0.633 0.633 0.266 Sb
0.500 0.000 0.000 Er
0.816 0.816 0.632 Er
0.000 0.500 0.000 Er
0.184 0.184 0.368 Er
0.000 0.000 0.000 Pm
```

Results
Final energy, eV per atom: -4.15
Formation energy (no corrections), meV per atom: 314
N(E_F), states/eV per cell: 6.77
Space-group type: I4/mmm (139)
Magnetic moment, μB per cell: 0.0

***

[18]
Computed, not measured: an optimized crystal structure of PmErSb at the PBE-GGA level of DFT.

```
PmErSb
1.0
-2.096 2.125 -2.788
-3.559 -3.615 -0.080
-0.394 3.876 3.249
Er Pm Sb
1 1 1
direct
0.563 0.333 0.667 Er
0.040 0.000 0.000 Pm
0.397 0.667 0.333 Sb
```

Results
Final energy, eV per atom: -4.93
Formation energy (no corrections), meV per atom: -449
N(E_F), states/eV per cell: 2.97
Space-group type: P3m1 (156)
Magnetic moment, μB per cell: 0.0

***

[19]
Computed, not measured: an optimized crystal structure of Pm2ErScSb4 at the PBE-GGA level of DFT.

```
Pm2ErScSb4
1.0
4.387 0.000 0.000
0.000 7.592 0.131
0.000 -2.655 7.091
Er Sb Pm Sc
1 4 2 1
direct
0.500 0.500 0.000 Er
0.000 0.751 0.237 Sb
0.500 0.761 0.768 Sb
0.000 0.249 0.763 Sb
0.500 0.239 0.232 Sb
0.500 0.000 0.500 Pm
0.000 0.500 0.500 Pm
0.000 0.000 0.000 Sc
```

Results
Final energy, eV per atom: -5.70
Formation energy (no corrections), meV per atom: -1087
N(E_F), states/eV per cell: 1.21
Space-group type: P2/m (10)
Magnetic moment, μB per cell: 0.0

***

[20]
Computed, not measured: an optimized crystal structure of Pm3Sm2ErSb6 at the PBE-GGA level of DFT.

```
Pm3Sm2ErSb6
1.0
-3.849 0.960 2.048
2.614 -4.702 7.116
5.184 8.474 0.906
Sb Pm Sm Er
6 3 2 1
direct
0.000 0.756 0.000 Sb
0.667 0.582 0.334 Sb
0.336 0.917 0.672 Sb
0.664 0.083 0.328 Sb
0.000 0.244 0.000 Sb
0.333 0.418 0.666 Sb
0.167 0.834 0.335 Pm
0.500 0.500 0.000 Pm
0.833 0.166 0.665 Pm
0.834 0.667 0.668 Sm
0.166 0.333 0.332 Sm
0.500 0.000 0.000 Er
```

Results
Final energy, eV per atom: -5.58
Formation energy (no corrections), meV per atom: -1166
N(E_F), states/eV per cell: 1.93
Space-group type: C2/m (12)
Magnetic moment, μB per cell: 0.0

***

[21]
Computed, not measured: an optimized crystal structure of Pm2SmErSb4 at the PBE-GGA level of DFT.

```
Pm2SmErSb4
1.0
-1.093 -2.897 3.204
5.779 2.646 4.365
-2.542 5.811 4.387
Er Pm Sb Sm
1 2 4 1
direct
0.000 0.500 0.500 Er
0.500 0.000 0.500 Pm
0.000 0.000 0.000 Pm
0.500 0.257 0.744 Sb
0.000 0.746 0.748 Sb
0.000 0.254 0.252 Sb
0.500 0.743 0.256 Sb
0.500 0.500 0.000 Sm
```

Results
Final energy, eV per atom: -5.57
Formation energy (no corrections), meV per atom: -1157
N(E_F), states/eV per cell: 1.06
Space-group type: P2/m (10)
Magnetic moment, μB per cell: 0.0

***

[22]
Computed, not measured: an optimized crystal structure of PmSm2ErSb4 at the PBE-GGA level of DFT.

```
PmSm2ErSb4
1.0
-3.386 -2.740 0.916
4.173 -3.292 5.576
-1.205 3.709 6.642
Sb Er Sm Pm
4 1 2 1
direct
0.000 0.748 0.746 Sb
0.500 0.745 0.256 Sb
0.500 0.255 0.744 Sb
0.000 0.252 0.254 Sb
0.000 0.500 0.500 Er
0.000 0.000 0.000 Sm
0.500 0.000 0.500 Sm
0.500 0.500 0.000 Pm
```

Results
Final energy, eV per atom: -5.56
Formation energy (no corrections), meV per atom: -1154
N(E_F), states/eV per cell: 1.05
Space-group type: P2/m (10)
Magnetic moment, μB per cell: 0.0

***

[23]
Computed, not measured: an optimized crystal structure of TbPm2ErSb4 at the PBE-GGA level of DFT.

```
TbPm2ErSb4
1.0
-0.638 4.135 -1.485
-4.813 -2.668 -5.362
-3.940 1.680 6.372
Sb Er Pm Tb
4 1 2 1
direct
0.000 0.749 0.243 Sb
0.000 0.251 0.757 Sb
0.500 0.246 0.242 Sb
0.500 0.754 0.758 Sb
0.000 0.000 0.000 Er
0.000 0.500 0.500 Pm
0.500 0.000 0.500 Pm
0.500 0.500 0.000 Tb
```

Results
Final energy, eV per atom: -5.55
Formation energy (no corrections), meV per atom: -1152
N(E_F), states/eV per cell: 1.09
Space-group type: P2/m (10)
Magnetic moment, μB per cell: 0.0

***

[24]
Computed, not measured: an optimized crystal structure of Tb2Pm3ErSb6 at the PBE-GGA level of DFT.

```
Tb2Pm3ErSb6
1.0
4.441 0.000 0.000
0.000 8.869 0.323
-2.220 -2.547 9.330
Tb Er Pm Sb
2 1 3 6
direct
0.166 0.333 0.333 Tb
0.834 0.667 0.667 Tb
0.500 0.000 0.000 Er
0.833 0.167 0.666 Pm
0.500 0.500 0.000 Pm
0.167 0.833 0.334 Pm
0.332 0.420 0.664 Sb
0.001 0.244 0.002 Sb
0.668 0.580 0.336 Sb
0.336 0.914 0.671 Sb
0.999 0.756 0.998 Sb
0.664 0.086 0.329 Sb
```

Results
Final energy, eV per atom: -5.56
Formation energy (no corrections), meV per atom: -1157
N(E_F), states/eV per cell: 1.92
Space-group type: C2/m (12)
Magnetic moment, μB per cell: 0.0